(1)
Density functional theory data (PBE-GGA) for Li2Ge3Se4 after structural relaxation.

Magnetization: 0.000 μB per cell
ΔE_f (raw): -0.511 eV per atom
Calculated density: 4.199 g cm⁻³
VASP energy: -4.02 eV/atom
Symmetry: C2/m, No. 12

Structure (POSCAR):
```
Li2Ge3Se4
1.0
6.746 -2.032 0.000
6.746 2.032 0.000
-6.588 0.000 7.897
Li Ge Se
2 3 4
Direct
0.147 0.147 0.361
0.853 0.853 0.639
0.312 0.312 0.205
0.500 0.500 0.000
0.688 0.688 0.795
0.094 0.094 0.905
0.253 0.253 0.676
0.747 0.747 0.324
0.906 0.906 0.095
```

=====

(2)
Density functional theory data (PBE-GGA) for Li2Ge2Se5 after structural relaxation.

Magnetization: 0.000 μB per cell
ΔE_f (raw): -0.405 eV per atom
Calculated density: 4.014 g cm⁻³
VASP energy: -3.79 eV/atom
Symmetry: C2/m, No. 12

Structure (POSCAR):
```
Li2Ge2Se5
1.0
7.342 -2.350 0.000
7.342 2.350 0.000
-1.107 0.000 6.641
Li Ge Se
2 2 5
Direct
0.182 0.182 0.428
0.818 0.818 0.572
0.340 0.340 0.129
0.660 0.660 0.871
0.148 0.148 0.019
0.366 0.366 0.482
0.500 0.500 0.000
0.634 0.634 0.518
0.852 0.852 0.981
```

=====

(3)
Density functional theory data (PBE-GGA) for Li3GeSe4 after structural relaxation.

Magnetization: 0.000 μB per cell
ΔE_f (raw): -0.737 eV per atom
Calculated density: 3.550 g cm⁻³
VASP energy: -3.77 eV/atom
Symmetry: Pmn2_1, No. 31

Structure (POSCAR):
```
Li3GeSe4
1.0
7.280 0.000 0.000
0.000 7.562 0.000
0.000 0.000 6.956
Li Ge Se
6 2 8
Direct
0.000 0.135 0.000
0.241 0.336 0.522
0.259 0.664 0.022
0.500 0.865 0.500
0.741 0.664 0.022
0.759 0.336 0.522
0.000 0.819 0.501
0.500 0.181 0.001
0.000 0.113 0.367
0.000 0.837 0.845
0.246 0.348 0.889
0.254 0.652 0.389
0.500 0.163 0.345
0.500 0.887 0.867
0.746 0.652 0.389
0.754 0.348 0.889
```

=====

Copy entry 1 word for word.
Density functional theory data (PBE-GGA) for Li2Ge3Se4 after structural relaxation.

Magnetization: 0.000 μB per cell
ΔE_f (raw): -0.511 eV per atom
Calculated density: 4.199 g cm⁻³
VASP energy: -4.02 eV/atom
Symmetry: C2/m, No. 12

Structure (POSCAR):
```
Li2Ge3Se4
1.0
6.746 -2.032 0.000
6.746 2.032 0.000
-6.588 0.000 7.897
Li Ge Se
2 3 4
Direct
0.147 0.147 0.361
0.853 0.853 0.639
0.312 0.312 0.205
0.500 0.500 0.000
0.688 0.688 0.795
0.094 0.094 0.905
0.253 0.253 0.676
0.747 0.747 0.324
0.906 0.906 0.095
```